Record 1
Density functional theory data (PBE-GGA) for an optimized crystal structure of GdLuCuTc.

Output
Energy in eV/cell: -134.07
Magnetization in μB/f.u.: 7.1

Cell: 6.8426 6.8426 6.8426 Å, 90.00 90.00 90.00°
Space group F-43m (No. 216)
Inequivalent atoms, fractional coordinates:
Gd1 0.0000 0.0000 0.0000
Lu1 0.0000 0.0000 0.5000
Cu1 0.2500 0.2500 0.2500
Tc1 0.2500 0.2500 0.7500



Record 2
Density functional theory data (PBE-GGA) for an optimized crystal structure of SrAc7La12.

Output
Energy in eV/cell: -259.18
Magnetization in μB/f.u.: 0.0

Cell: 18.3180 18.3180 8.4550 Å, 90.00 90.00 120.00°
Space group R-3m (No. 166, hexagonal axes)
Inequivalent atoms, fractional coordinates:
Sr1 0.0000 0.0000 0.0000
Ac1 0.0000 0.0000 0.5000
Ac2 0.1084 0.2168 0.7351
La1 0.0000 0.2890 0.0000
La2 0.0967 0.5484 0.9657



Record 3
Density functional theory data (PBE-GGA) for an optimized crystal structure of CsCaI3.

Output
Energy in eV/cell: -29.01
Formation energy without anion corrections in eV per formula unit: -7.0
Magnetization in μB/f.u.: 0.0

Cell: 6.1962 6.1962 12.7684 Å, 90.00 90.00 120.00°
Space group P6_3/mmc (No. 194)
Inequivalent atoms, fractional coordinates:
Cs1 0.3333 0.6667 0.2500
Ca1 0.0000 0.0000 0.0000
I1 0.0000 0.0000 0.2500
I2 0.3333 0.6667 0.5570